Entry 1:
DFT (GGA-PBE) results for an optimized crystal structure of Ba2SrIO6.

The value obtained for the total energy is -5.5889 eV/atom. Its total magnetic moment is 0.0 μB/f.u. As for the crystal system: cubic.

The space group is Fm-3m (No. 225) and the conventional cell measures 8.8039, 8.8039 and 8.8039 Å, with angles of 90.00, 90.00 and 90.00 degrees. Symmetry generates all atoms from Ba at (0.2500, 0.2500, 0.2500), Sr at (0.0000, 0.0000, 0.0000), I at (0.0000, 0.0000, 0.5000) and O at (0.0000, 0.0000, 0.2713).

Entry 2:
DFT (GGA-PBE) results for an optimized crystal structure of ScTcPt4.

The value obtained for the total energy is -7.0976 eV/atom. Its total magnetic moment is 3.3 μB/f.u. For the formation energy, the calculation gives -0.29 eV/atom. As for the crystal system: cubic.

The space group is F-43m (No. 216) and the conventional cell measures 7.4532, 7.4532 and 7.4532 Å, with angles of 90.00, 90.00 and 90.00 degrees. Symmetry generates all atoms from Sc at (0.0000, 0.0000, 0.0000), Tc at (0.2500, 0.2500, 0.7500) and Pt at (0.1248, 0.1248, 0.3752).